A relaxed Cs6Sr crystal. Source: Alexandria, functional PBE.

Raw total energy = -0.5498 eV per atom
Energy relative to the elements = 422 meV/atom
Symmetry = Im-3m, No. 229
Calculated volume = 163.94 Å³/atom
ρ = 1.28 g cm⁻³

```
Cs6Sr
1.0
13.191 0.000 0.000
0.000 13.191 0.000
0.000 0.000 13.191
Cs Sr
12 2
direct
0.000 0.250 0.500 Cs
0.000 0.500 0.250 Cs
0.000 0.500 0.750 Cs
0.000 0.750 0.500 Cs
0.250 0.000 0.500 Cs
0.250 0.500 0.000 Cs
0.500 0.000 0.250 Cs
0.500 0.000 0.750 Cs
0.500 0.250 0.000 Cs
0.500 0.750 0.000 Cs
0.750 0.000 0.500 Cs
0.750 0.500 0.000 Cs
0.000 0.000 0.000 Sr
0.500 0.500 0.500 Sr
```